No. 1
Entry from Alexandria via LeMat-Bulk: crystalline V5Pt at its relaxed geometry (GGA-PBE).

Cell: 6.590 6.590 3.043 Å, 90.00 90.00 141.51°
Element x y z (fractional)
V 0.000 0.000 0.000
V 0.165 0.835 0.500
V 0.325 0.675 0.000
V 0.675 0.325 0.000
V 0.835 0.165 0.500
Pt 0.500 0.500 0.500

Calculated values
symmetry = No. 65
N(E_F) = 4.839 states/eV per cell
E = -8.87 eV per atom
energy above the most stable polymorph in this dataset = 0.028 eV per atom

No. 2
Entry from Alexandria via LeMat-Bulk: crystalline V5Pt at its relaxed geometry (GGA-PBE).

Cell: 4.965 4.965 5.968 Å, 107.44 107.44 36.08°
Element x y z (fractional)
V 0.000 0.000 0.000
V 0.327 0.327 0.672
V 0.332 0.332 0.157
V 0.668 0.668 0.843
V 0.673 0.673 0.328
Pt 0.000 0.000 0.500

Calculated values
symmetry = No. 12
N(E_F) = 4.211 states/eV per cell
E = -8.89 eV per atom
energy above the most stable polymorph in this dataset = 0.000 eV per atom

No. 3
Entry from Alexandria via LeMat-Bulk: crystalline VPt3 at its relaxed geometry (GGA-PBE).

Cell: 3.921 3.921 3.921 Å, 90.00 90.00 90.00°
Element x y z (fractional)
V 0.000 0.000 0.000
Pt 0.000 0.500 0.500
Pt 0.500 0.000 0.500
Pt 0.500 0.500 0.000

Calculated values
symmetry = No. 221
N(E_F) = 5.331 states/eV per cell
E = -7.27 eV per atom

No. 4
Entry from Alexandria via LeMat-Bulk: crystalline V2Pt at its relaxed geometry (GGA-PBE).

Cell: 4.894 4.894 4.894 Å, 60.00 60.00 60.00°
Element x y z (fractional)
V 0.000 0.000 0.000
V 0.000 0.000 0.500
V 0.000 0.500 0.000
V 0.500 0.000 0.000
Pt 0.375 0.375 0.375
Pt 0.625 0.625 0.625

Calculated values
symmetry = No. 227
N(E_F) = 7.770 states/eV per cell
E = -8.41 eV per atom

No. 5
Entry from Alexandria via LeMat-Bulk: crystalline VPt2 at its relaxed geometry (GGA-PBE).

Cell: 4.823 4.823 4.823 Å, 146.99 133.18 58.47°
Element x y z (fractional)
V 0.000 0.000 0.000
Pt 0.339 0.339 0.000
Pt 0.661 0.661 0.000

Calculated values
symmetry = No. 71
N(E_F) = 2.267 states/eV per cell
E = -7.63 eV per atom

No. 6
Entry from Alexandria via LeMat-Bulk: crystalline VPt3 at its relaxed geometry (GGA-PBE).

Cell: 5.318 5.318 5.318 Å, 149.83 62.82 126.32°
Element x y z (fractional)
V 0.000 0.000 0.000
Pt 0.085 0.349 0.736
Pt 0.475 0.975 0.500
Pt 0.613 0.349 0.264

Calculated values
symmetry = No. 44
N(E_F) = 3.950 states/eV per cell
E = -7.14 eV per atom

No. 7
Entry from Alexandria via LeMat-Bulk: crystalline VPt4 at its relaxed geometry (GGA-PBE).

Cell: 4.816 4.816 4.816 Å, 99.40 99.40 132.33°
Element x y z (fractional)
V 0.000 0.000 0.000
Pt 0.206 0.398 0.603
Pt 0.398 0.794 0.192
Pt 0.602 0.206 0.808
Pt 0.794 0.602 0.397

Calculated values
symmetry = No. 87
N(E_F) = 6.759 states/eV per cell
E = -7.03 eV per atom
energy above the most stable polymorph in this dataset = 0.000 eV per atom

No. 8
Entry from Alexandria via LeMat-Bulk: crystalline VPt4 at its relaxed geometry (GGA-PBE).

Cell: 4.566 4.566 4.566 Å, 90.00 90.00 90.00°
Element x y z (fractional)
V 0.000 0.000 0.000
Pt 0.000 0.000 0.500
Pt 0.000 0.500 0.000
Pt 0.500 0.000 0.000
Pt 0.500 0.500 0.500

Calculated values
symmetry = No. 221
N(E_F) = 3.895 states/eV per cell
E = -5.75 eV per atom
energy above the most stable polymorph in this dataset = 1.281 eV per atom

no.,calculated formation energy (eV per atom)
1,-0.260
2,-0.287
3,-0.455
4,-0.313
5,-0.567
6,-0.331
7,-0.377
8,0.904